MnGaI3 | GGA-PBE | optimized geometry

The value obtained for the formation energy (no corrections) is 0.30 eV/atom. The calculation puts the density of states at the Fermi level at 2.87 states/eV per cell. The offset from the most stable computed form is 314 kJ/mol of formula units.

The structure belongs to space group Pm-3m (No. 221); the cell edges are 5.499, 5.499 and 5.499 Å and the angles 90.00°, 90.00° and 90.00°. The asymmetric unit holds Mn at (0.000, 0.000, 0.000), Ga at (0.500, 0.500, 0.500) and I at (0.000, 0.500, 0.500).